Model i:
KMg6SiO8 after structural relaxation, computed with GGA-PBE.

Structure (CIF):
```
data_KMg6SiO8
_space_group_name_H-M_alt 'P 4/m m m'
_space_group_IT_number 123
_space_group_name_Hall '-P 4 2'
_cell_length_a 4.564
_cell_length_b 4.564
_cell_length_c 8.363
_cell_angle_alpha 90.00
_cell_angle_beta 90.00
_cell_angle_gamma 90.00
loop_
_atom_site_label
_atom_site_fract_x
_atom_site_fract_y
_atom_site_fract_z
K1 0.000 0.000 0.000
Mg1 0.000 0.500 0.247
Mg2 0.500 0.500 0.000
Mg3 0.500 0.500 0.500
Si1 0.000 0.000 0.500
O1 0.000 0.000 0.292
O2 0.000 0.500 0.000
O3 0.000 0.500 0.500
O4 0.500 0.500 0.253
```

***

Model ii:
KMg6SiO8 after structural relaxation, computed with GGA-PBE.

Structure (CIF):
```
data_KMg6SiO8
_space_group_name_H-M_alt 'P 4/m m m'
_space_group_IT_number 123
_space_group_name_Hall '-P 4 2'
_cell_length_a 4.441
_cell_length_b 4.441
_cell_length_c 8.689
_cell_angle_alpha 90.00
_cell_angle_beta 90.00
_cell_angle_gamma 90.00
loop_
_atom_site_label
_atom_site_fract_x
_atom_site_fract_y
_atom_site_fract_z
K1 0.000 0.000 0.000
Mg1 0.000 0.000 0.500
Mg2 0.000 0.500 0.253
Mg3 0.500 0.500 0.500
Si1 0.500 0.500 0.000
O1 0.000 0.000 0.276
O2 0.000 0.500 0.000
O3 0.000 0.500 0.500
O4 0.500 0.500 0.234
```

***

The data favor model i; the next most stable structure lies 0.056 eV/atom above it.

***

Model i:
K2MgSiO4 after structural relaxation, computed with GGA-PBE.

Structure (CIF):
```
data_K2MgSiO4
_space_group_name_H-M_alt 'P -1'
_space_group_IT_number 2
_cell_length_a 5.149
_cell_length_b 6.580
_cell_length_c 10.227
_cell_angle_alpha 79.55
_cell_angle_beta 76.98
_cell_angle_gamma 68.45
loop_
_space_group_symop_operation_xyz
'x,y,z'
'-x,-y,-z'
loop_
_atom_site_label
_atom_site_fract_x
_atom_site_fract_y
_atom_site_fract_z
K1 0.139 0.241 0.414
K2 0.206 0.740 0.913
Mg1 0.479 0.749 0.247
Si1 0.020 0.254 0.753
O1 0.073 0.931 0.300
O2 0.217 0.150 0.872
O3 0.229 0.358 0.634
O4 0.295 0.562 0.196
```

***

Model ii:
K2MgSiO4 after structural relaxation, computed with GGA-PBE.

Structure (CIF):
```
data_K2MgSiO4
_space_group_name_H-M_alt 'P c a 21'
_space_group_IT_number 29
_cell_length_a 11.111
_cell_length_b 5.539
_cell_length_c 15.778
_cell_angle_alpha 90.00
_cell_angle_beta 90.00
_cell_angle_gamma 90.00
loop_
_space_group_symop_operation_xyz
'x,y,z'
'-x,-y,z+1/2'
'-x+1/2,y,z+1/2'
'x+1/2,-y,z'
loop_
_atom_site_label
_atom_site_fract_x
_atom_site_fract_y
_atom_site_fract_z
K1 0.008 0.006 0.123
K2 0.010 0.504 0.500
K3 0.235 0.551 0.876
K4 0.239 0.043 0.746
Mg1 0.010 0.508 0.251
Mg2 0.239 0.031 0.998
Si1 0.008 0.009 0.373
Si2 0.235 0.526 0.626
O1 0.012 0.279 0.849
O2 0.021 0.825 0.788
O3 0.085 0.918 0.951
O4 0.105 0.412 0.660
O5 0.148 0.060 0.404
O6 0.174 0.556 0.208
O7 0.207 0.340 0.055
O8 0.209 0.793 0.583
```

***

The data favor model ii; the next most stable structure lies 0.098 eV/atom above it.